Entry from the Alexandria database: an optimized crystal structure of AcGdTe2 (GGA-PBE).

**Energy relative to the elements, uncorrected**: -0.930 eV/atom
**Energy relative to the lowest polymorph listed for this composition**: 385 meV/atom
**Symmetry**: No. 166

POSCAR file:
```
AcGdTe2
1.0
2.330 1.345 9.918
-2.330 1.345 9.918
0.000 -2.690 9.918
Ac Gd Te
1 1 2
Direct
0.000 0.000 0.000 Ac
0.500 0.500 0.500 Gd
0.398 0.398 0.398 Te
0.602 0.602 0.602 Te
```


Entry from the Alexandria database: an optimized crystal structure of Ac2GdTe (GGA-PBE).

**Energy relative to the elements, uncorrected**: -0.558 eV/atom
**Energy relative to the lowest polymorph listed for this composition**: 0 meV/atom
**Symmetry**: No. 123

POSCAR file:
```
Ac2GdTe
1.0
4.149 0.000 0.000
0.000 4.149 0.000
0.000 0.000 8.730
Ac Gd Te
2 1 1
Direct
0.000 0.000 0.225 Ac
0.000 0.000 0.775 Ac
0.500 0.500 0.500 Gd
0.500 0.500 0.000 Te
```


Entry from the Alexandria database: an optimized crystal structure of AcGdTe2 (GGA-PBE).

**Energy relative to the elements, uncorrected**: -1.315 eV/atom
**Energy relative to the lowest polymorph listed for this composition**: 0 meV/atom
**Symmetry**: No. 123

POSCAR file:
```
AcGdTe2
1.0
3.943 0.000 0.000
0.000 3.943 0.000
0.000 0.000 7.930
Ac Gd Te
1 1 2
Direct
0.000 0.000 0.000 Ac
0.000 0.000 0.500 Gd
0.500 0.500 0.265 Te
0.500 0.500 0.735 Te
```